Ti2Ni: optimized geometry, GGA-PBE.

Cell lengths 11.287, 11.287, 11.287 Å; angles 90.00, 90.00, 90.00 degrees
Space group Fd-3m (No. 227, origin choice 2)
Symmetry-distinct sites (fractional):
Ti 0.000 0.000 0.000 (multiplicity 16)
Ti 0.062 0.375 0.875 (multiplicity 48)
Ni 0.036 0.036 0.214 (multiplicity 32)

Properties
- V: 15.0 Å³ per atom
- Final energy: -716.9 eV/cell